FeSi2 | GGA-PBEsol | optimized geometry

Output
- Formation energy from raw total energies: -0.56 eV per atom

Unit cell a=6.2255 b=6.2255 c=7.7390 alpha=90.00 beta=90.00 gamma=76.43
With the nearest neighbours (Å) after each atom.
Fractional coordinates of all 24 atoms:
Fe1 0.1925 0.8075 0.8123  8 Si 2.30-2.40
Fe2 0.2162 0.2162 0.0000  8 Si 2.31-2.36
Fe3 0.2838 0.2838 0.5000  8 Si 2.31-2.36
Fe4 0.3075 0.6925 0.3123  8 Si 2.30-2.40
Fe5 0.6925 0.3075 0.6877  8 Si 2.30-2.40
Fe6 0.7162 0.7162 0.5000  8 Si 2.31-2.36
Fe7 0.7838 0.7838 0.0000  8 Si 2.31-2.36
Fe8 0.8075 0.1925 0.1877  8 Si 2.30-2.40
Si1 0.0818 0.1712 0.7267  4 Fe 2.30-2.39, 5 Si 2.44-2.56
Si2 0.0979 0.6453 0.5500  4 Fe 2.31-2.40, 5 Si 2.47-2.56
Si3 0.1453 0.5979 0.0500  4 Fe 2.31-2.40, 5 Si 2.47-2.56
Si4 0.1712 0.0818 0.2733  4 Fe 2.30-2.39, 5 Si 2.44-2.56
Si5 0.3288 0.4182 0.7733  4 Fe 2.30-2.39, 5 Si 2.44-2.56
Si6 0.3547 0.9021 0.5500  4 Fe 2.31-2.40, 5 Si 2.47-2.56
Si7 0.4021 0.8547 0.0500  4 Fe 2.31-2.40, 5 Si 2.47-2.56
Si8 0.4182 0.3288 0.2267  4 Fe 2.30-2.39, 5 Si 2.44-2.56
Si9 0.5818 0.6712 0.7733  4 Fe 2.30-2.39, 5 Si 2.44-2.56
Si10 0.5979 0.1453 0.9500  4 Fe 2.31-2.40, 5 Si 2.47-2.56
Si11 0.6453 0.0979 0.4500  4 Fe 2.31-2.40, 5 Si 2.47-2.56
Si12 0.6712 0.5818 0.2267  4 Fe 2.30-2.39, 5 Si 2.44-2.56
Si13 0.8288 0.9182 0.7267  4 Fe 2.30-2.39, 5 Si 2.44-2.56
Si14 0.8547 0.4021 0.9500  4 Fe 2.31-2.40, 5 Si 2.47-2.56
Si15 0.9021 0.3547 0.4500  4 Fe 2.31-2.40, 5 Si 2.47-2.56
Si16 0.9182 0.8288 0.2733  4 Fe 2.30-2.39, 5 Si 2.44-2.56